1.
# Zr2SiSb

Zr2SiSb after structural relaxation (GGA-PBEsol, Alexandria via LeMat-Bulk).

As for the energy relative to the lowest polymorph listed for this composition: 0.052 eV per atom.

Cell: 3.950 3.999 5.048 Å, 90.00 90.00 90.00°
Atoms (fractional coordinates):
Zr: 0.000 0.000 0.000
Zr: 0.000 0.500 0.500
Si: 0.500 0.000 0.500
Sb: 0.500 0.500 0.000


2.
# CaTe2Os

CaTe2Os after structural relaxation (GGA-PBEsol, Alexandria via LeMat-Bulk).

As for the energy relative to the lowest polymorph listed for this composition: 0.000 eV per atom.

Cell: 6.671 6.671 6.671 Å, 36.68 36.68 36.68°
Atoms (fractional coordinates):
Ca: 0.000 0.000 0.000
Te: 0.230 0.230 0.230
Te: 0.770 0.770 0.770
Os: 0.500 0.500 0.500


3.
# SnGeRh2I

SnGeRh2I after structural relaxation (GGA-PBEsol, Alexandria via LeMat-Bulk).

Cell: 4.586 4.586 5.549 Å, 90.00 90.00 90.00°
Atoms (fractional coordinates):
Sn: 0.000 0.000 0.000
Ge: 0.500 0.500 0.500
Rh: 0.000 0.500 0.500
Rh: 0.500 0.000 0.500
I: 0.500 0.500 0.000


4.
# CaLaCd

CaLaCd after structural relaxation (GGA-PBEsol, Alexandria via LeMat-Bulk).

Its formation energy is 0.338 eV/atom. As for the energy relative to the lowest polymorph listed for this composition: 0.529 eV per atom.

Cell: 5.135 5.135 5.135 Å, 60.00 60.00 60.00°
Atoms (fractional coordinates):
Ca: 0.000 0.000 0.000
La: 0.250 0.250 0.250
Cd: 0.750 0.750 0.750


5.
# GaRh3Se

GaRh3Se after structural relaxation (GGA-PBEsol, Alexandria via LeMat-Bulk).

Cell: 4.485 4.485 4.485 Å, 90.00 90.00 90.00°
Atoms (fractional coordinates):
Ga: 0.000 0.000 0.000
Rh: 0.000 0.000 0.500
Rh: 0.000 0.500 0.000
Rh: 0.500 0.000 0.000
Se: 0.500 0.500 0.500


6.
# Ba2CoAg

Ba2CoAg after structural relaxation (GGA-PBEsol, Alexandria via LeMat-Bulk).

Its formation energy is 0.195 eV/atom.

Cell: 8.577 8.577 8.577 Å, 29.99 29.99 29.99°
Atoms (fractional coordinates):
Ba: 0.000 0.000 0.000
Ba: 0.169 0.169 0.169
Co: 0.751 0.751 0.751
Ag: 0.418 0.418 0.418


7.
# CdSICl2

CdSICl2 after structural relaxation (GGA-PBEsol, Alexandria via LeMat-Bulk).

Cell: 5.370 5.370 5.065 Å, 90.00 90.00 90.00°
Atoms (fractional coordinates):
Cd: 0.000 0.000 0.000
S: 0.500 0.500 0.000
I: 0.500 0.500 0.500
Cl: 0.000 0.500 0.500
Cl: 0.500 0.000 0.500


8.
# CdFe2Se

CdFe2Se after structural relaxation (GGA-PBEsol, Alexandria via LeMat-Bulk).

Cell: 4.299 4.299 3.128 Å, 90.00 90.00 90.00°
Atoms (fractional coordinates):
Cd: 0.000 0.000 0.000
Fe: 0.000 0.500 0.500
Fe: 0.500 0.000 0.500
Se: 0.500 0.500 0.000


9.
# Tc2GeN

Tc2GeN after structural relaxation (GGA-PBEsol, Alexandria via LeMat-Bulk).

Cell: 4.078 4.078 4.078 Å, 60.00 60.00 60.00°
Atoms (fractional coordinates):
Tc: 0.250 0.250 0.250
Tc: 0.750 0.750 0.750
Ge: 0.000 0.000 0.000
N: 0.500 0.500 0.500


10.
# Sc2Br

Sc2Br after structural relaxation (GGA-PBEsol, Alexandria via LeMat-Bulk).

As for the energy relative to the lowest polymorph listed for this composition: 0.188 eV per atom.

Cell: 6.580 6.580 6.580 Å, 151.07 151.07 41.38°
Atoms (fractional coordinates):
Sc: 0.165 0.165 0.000
Sc: 0.835 0.835 0.000
Br: 0.500 0.500 0.000


11.
# Cs2AgAuBr6

Cs2AgAuBr6 after structural relaxation (GGA-PBEsol, Alexandria via LeMat-Bulk).

Cell: 7.545 7.545 7.545 Å, 60.00 60.00 60.00°
Atoms (fractional coordinates):
Cs: 0.250 0.250 0.250
Cs: 0.750 0.750 0.750
Ag: 0.000 0.000 0.000
Au: 0.500 0.500 0.500
Br: 0.252 0.252 0.748
Br: 0.252 0.748 0.252
Br: 0.252 0.748 0.748
Br: 0.748 0.252 0.252
Br: 0.748 0.252 0.748
Br: 0.748 0.748 0.252


12.
# LiYAg2

LiYAg2 after structural relaxation (GGA-PBEsol, Alexandria via LeMat-Bulk).

Its formation energy is -0.191 eV/atom.

Cell: 5.158 5.158 5.158 Å, 130.95 130.95 71.90°
Atoms (fractional coordinates):
Li: 0.000 0.000 0.000
Y: 0.750 0.250 0.500
Ag: 0.250 0.750 0.500
Ag: 0.500 0.500 0.000


Values of total energy, in order: -30.684 -23.016 -23.901 -7.664 -27.033 -14.567 -9.935 -21.298 -33.203 -16.656 -29.205 -16.177, all in eV/f.u..